ZrFeIr: optimized geometry, GGA-PBE.

Lattice parameters (Å, degrees): 4.9131 5.3744 7.1806 90.00 90.00 90.00
Space group Imma (No. 74)
Inequivalent atoms, fractional coordinates:
Zr 0.0000 0.2500 0.1196 [4 per cell]
Fe 0.2500 0.2500 0.7500 [4 per cell]
Ir 0.0000 0.0000 0.5000 [4 per cell]

Summary:
V	189.6	Å³/cell
total moment	8.07	μB/cell
ΔE_f	-577	meV per atom